(1)
Entry from Alexandria: a geometry-optimized La3Pm3InHg2 structure (PBE-GGA).

Output
As for the density of states at the Fermi level: 1.41 states/eV/atom. The calculated formation energy is -0.2728 eV/atom. As for the calculated total energy: -3.870 eV/atom.

abc: 3.8565 9.1786 9.1786
angles: 120.00 90.00 90.00
Element x y z (fractional)
Pm1 0.0000 0.6159 0.6159
Pm2 0.0000 0.0000 0.3841
Pm3 0.0000 0.3841 0.0000
La1 0.5000 0.2898 0.2898
La2 0.5000 0.0000 0.7102
La3 0.5000 0.7102 0.0000
Hg1 0.5000 0.3333 0.6667
Hg2 0.5000 0.6667 0.3333
In1 0.0000 0.0000 0.0000

(2)
Entry from Alexandria: a geometry-optimized LaPm2In3Hg6 structure (PBE-GGA).

Output
As for the density of states at the Fermi level: 0.79 states/eV/atom. The calculated formation energy is -0.0938 eV/atom. As for the calculated total energy: -2.132 eV/atom.

abc: 4.2858 4.2858 20.7623
angles: 90.00 90.00 90.00
Element x y z (fractional)
Pm1 0.5000 0.5000 0.7883
Pm2 0.5000 0.5000 0.2117
Hg1 0.0000 0.5000 0.3803
Hg2 0.0000 0.5000 0.6197
Hg3 0.0000 0.0000 0.1340
Hg4 0.5000 0.0000 0.3803
Hg5 0.5000 0.0000 0.6197
Hg6 0.0000 0.0000 0.8660
In1 0.0000 0.0000 0.2743
In2 0.0000 0.0000 0.0000
In3 0.0000 0.0000 0.7257
La1 0.5000 0.5000 0.5000

(3)
Entry from Alexandria: a geometry-optimized La2PmIn3Hg6 structure (PBE-GGA).

Output
As for the density of states at the Fermi level: 0.80 states/eV/atom. The calculated formation energy is -0.1232 eV/atom. As for the calculated total energy: -2.176 eV/atom.

abc: 4.3502 4.3502 20.5092
angles: 90.00 90.00 90.00
Element x y z (fractional)
Hg1 0.0000 0.0000 0.8636
Hg2 0.5000 0.0000 0.6142
Hg3 0.5000 0.0000 0.3858
Hg4 0.0000 0.5000 0.6142
Hg5 0.0000 0.0000 0.1364
Hg6 0.0000 0.5000 0.3858
La1 0.5000 0.5000 0.7836
La2 0.5000 0.5000 0.2164
In1 0.0000 0.0000 0.7183
In2 0.0000 0.0000 0.0000
In3 0.0000 0.0000 0.2817
Pm1 0.5000 0.5000 0.5000

(4)
Entry from Alexandria: a geometry-optimized LaPm2InHg4 structure (PBE-GGA).

Output
As for the density of states at the Fermi level: 0.85 states/eV/atom. The calculated formation energy is -0.4366 eV/atom. As for the calculated total energy: -2.733 eV/atom.

abc: 5.2381 5.2381 9.7716
angles: 74.45 74.45 60.00
Element x y z (fractional)
Hg1 0.8790 0.8790 0.3630
Hg2 0.1210 0.1210 0.6370
Hg3 0.6237 0.6237 0.1289
Hg4 0.3763 0.3763 0.8711
La1 0.0000 0.0000 0.0000
In1 0.5000 0.5000 0.5000
Pm1 0.7629 0.7629 0.7114
Pm2 0.2371 0.2371 0.2886

(5)
Entry from Alexandria: a geometry-optimized LaPrInHg structure (PBE-GGA).

Output
As for the density of states at the Fermi level: 1.17 states/eV/atom. The calculated formation energy is -0.4844 eV/atom. As for the calculated total energy: -3.671 eV/atom.

abc: 5.5445 5.5445 5.5445
angles: 60.00 60.00 60.00
Element x y z (fractional)
Hg1 0.7500 0.7500 0.7500
Pr1 0.5000 0.5000 0.5000
La1 0.0000 0.0000 0.0000
In1 0.2500 0.2500 0.2500

(6)
Entry from Alexandria: a geometry-optimized La2PrIn2Hg2 structure (PBE-GGA).

Output
As for the density of states at the Fermi level: 0.59 states/eV/atom. The calculated formation energy is -0.3527 eV/atom. As for the calculated total energy: -3.312 eV/atom.

abc: 4.9300 4.9300 9.8757
angles: 75.55 75.55 60.00
Element x y z (fractional)
Pr1 0.0000 0.0000 0.0000
In1 0.7303 0.7303 0.8092
In2 0.2697 0.2697 0.1908
Hg1 0.4202 0.4202 0.7393
Hg2 0.5798 0.5798 0.2607
La1 0.1376 0.1376 0.5871
La2 0.8624 0.8624 0.4129